{
  "formula": "LiScC3",
  "functional": "PBE",
  "state": "optimized geometry",
  "lattice": [[3.647, 0.000, 0.000], [0.000, 3.647, 0.000], [0.000, 0.000, 3.647]],
  "species": ["Li", "Sc", "C", "C", "C"],
  "fractional_positions": [[0.000, 0.000, 0.000], [0.500, 0.500, 0.500], [0.000, 0.000, 0.500], [0.000, 0.500, 0.000], [0.500, 0.000, 0.000]],
  "magnetic_moment_mub_per_cell": 0.0,
  "n_ef_per_ev_atom": 0.539,
  "vol_a3_per_cell": 48.5,
  "formation_enthalpy_0k_ev_per_atom": 1.78,
  "de_polymorph_mev_per_atom": 0.0
}

=====

{
  "formula": "NdSnSe4",
  "functional": "PBE",
  "state": "optimized geometry",
  "lattice": [[5.951, 0.000, 0.000], [0.000, 9.617, 0.000], [-2.895, 0.000, 7.036]],
  "species": ["Nd", "Nd", "Sn", "Sn", "Se", "Se", "Se", "Se", "Se", "Se", "Se", "Se"],
  "fractional_positions": [[0.095, 0.250, 0.201], [0.905, 0.750, 0.799], [0.123, 0.750, 0.385], [0.877, 0.250, 0.615], [0.176, 0.559, 0.134], [0.176, 0.941, 0.134], [0.306, 0.250, 0.616], [0.373, 0.750, 0.748], [0.627, 0.250, 0.252], [0.694, 0.750, 0.384], [0.824, 0.059, 0.866], [0.824, 0.441, 0.866]],
  "magnetic_moment_mub_per_cell": 0.0,
  "n_ef_per_ev_atom": 0.205,
  "formation_energy_uncorrected_ev_per_fu": -4.74,
  "vol_a3_per_cell": 402.7
}

=====

{
  "formula": "CdMoAs2",
  "functional": "PBE",
  "state": "optimized geometry",
  "lattice": [[4.400, 0.000, 0.000], [0.000, 4.400, 0.000], [0.000, 0.000, 7.471]],
  "species": ["Cd", "Cd", "Mo", "Mo", "As", "As", "As", "As"],
  "fractional_positions": [[0.000, 0.000, 0.000], [0.500, 0.500, 0.500], [0.000, 0.000, 0.500], [0.500, 0.500, 0.000], [0.000, 0.500, 0.250], [0.000, 0.500, 0.750], [0.500, 0.000, 0.250], [0.500, 0.000, 0.750]],
  "magnetic_moment_mub_per_cell": 2.8,
  "n_ef_per_ev_atom": 0.787,
  "vol_a3_per_cell": 144.7,
  "formation_enthalpy_0k_ev_per_atom": 0.38
}

=====

{
  "formula": "K2Na4Pd",
  "functional": "PBE",
  "state": "optimized geometry",
  "lattice": [[5.647, 0.000, 0.000], [0.000, 5.647, 0.000], [0.000, 0.000, 19.004]],
  "species": ["K", "K", "K", "K", "Na", "Na", "Na", "Na", "Na", "Na", "Na", "Na", "Pd", "Pd"],
  "fractional_positions": [[0.000, 0.000, 0.145], [0.000, 0.000, 0.855], [0.500, 0.500, 0.355], [0.500, 0.500, 0.645], [0.000, 0.000, 0.352], [0.000, 0.000, 0.648], [0.000, 0.500, 0.000], [0.000, 0.500, 0.500], [0.500, 0.000, 0.000], [0.500, 0.000, 0.500], [0.500, 0.500, 0.148], [0.500, 0.500, 0.852], [0.000, 0.000, 0.500], [0.500, 0.500, 0.000]],
  "magnetic_moment_mub_per_cell": 0.0,
  "n_ef_per_ev_atom": 0.495,
  "vol_a3_per_cell": 605.9,
  "formation_enthalpy_0k_ev_per_atom": 0.04
}